[1]
CaCo2Se2 after structural relaxation. Source: Alexandria via LeMat-Bulk, functional GGA-PBEsol.

Cell: 6.345 6.345 6.345 Å, 145.02 145.02 50.31°
Atoms (fractional coordinates):
Ca: 0.000 0.000 0.000
Co: 0.250 0.750 0.500
Co: 0.750 0.250 0.500
Se: 0.364 0.364 0.000
Se: 0.636 0.636 0.000

Output
Symmetry   I4/mmm (139)
Total DFT energy (no corrections)   -5.722 eV/atom
Energy relative to the elements, uncorrected   -3.3 eV/f.u.
Spin magnetization   0.373 μB per atom

[2]
CaCoSe2 after structural relaxation. Source: Alexandria via LeMat-Bulk, functional GGA-PBEsol.

Cell: 6.851 6.851 6.851 Å, 151.04 149.47 42.58°
Atoms (fractional coordinates):
Ca: 0.000 0.000 0.000
Co: 0.748 0.248 0.500
Se: 0.320 0.820 0.500
Se: 0.608 0.608 0.000

Output
Energy relative to the lowest polymorph listed for this composition   0.241 eV/atom
Symmetry   Imm2 (44)
Total DFT energy (no corrections)   -5.039 eV/atom
Energy relative to the elements, uncorrected   -2.6 eV/f.u.
Spin magnetization   0.542 μB per atom

[3]
CaCo2Se after structural relaxation. Source: Alexandria via LeMat-Bulk, functional GGA-PBEsol.

Cell: 5.452 5.452 5.452 Å, 42.58 42.58 42.58°
Atoms (fractional coordinates):
Ca: 0.000 0.000 0.000
Co: 0.193 0.193 0.193
Co: 0.807 0.807 0.807
Se: 0.500 0.500 0.500

Output
Symmetry   R-3m (166)
Total DFT energy (no corrections)   -5.561 eV/atom
Energy relative to the elements, uncorrected   -0.8 eV/f.u.
Spin magnetization   0.001 μB per atom

[4]
CaCoSi2 after structural relaxation. Source: Alexandria via LeMat-Bulk, functional GGA-PBEsol.

Cell: 5.753 5.753 5.753 Å, 39.21 39.21 39.21°
Atoms (fractional coordinates):
Ca: 0.000 0.000 0.000
Co: 0.817 0.817 0.817
Si: 0.200 0.200 0.200
Si: 0.458 0.458 0.458

Output
Symmetry   R3m (160)
Total DFT energy (no corrections)   -5.890 eV/atom
Energy relative to the elements, uncorrected   -2.2 eV/f.u.
Spin magnetization   0.000 μB per atom

[5]
CaCoSi2 after structural relaxation. Source: Alexandria via LeMat-Bulk, functional GGA-PBEsol.

Cell: 5.653 5.653 5.653 Å, 39.78 39.78 39.78°
Atoms (fractional coordinates):
Ca: 0.000 0.000 0.000
Co: 0.500 0.500 0.500
Si: 0.205 0.205 0.205
Si: 0.795 0.795 0.795

Output
Symmetry   R-3m (166)
Total DFT energy (no corrections)   -5.926 eV/atom
Energy relative to the elements, uncorrected   -2.3 eV/f.u.
Spin magnetization   0.003 μB per atom

[6]
CaCo2Si after structural relaxation. Source: Alexandria via LeMat-Bulk, functional GGA-PBEsol.

Cell: 5.462 5.462 5.462 Å, 42.57 42.57 42.57°
Atoms (fractional coordinates):
Ca: 0.000 0.000 0.000
Co: 0.184 0.184 0.184
Co: 0.816 0.816 0.816
Si: 0.500 0.500 0.500

Output
Symmetry   R-3m (166)
Total DFT energy (no corrections)   -6.175 eV/atom
Energy relative to the elements, uncorrected   -1.3 eV/f.u.
Spin magnetization   0.397 μB per atom

[7]
CaCo2Si after structural relaxation. Source: Alexandria via LeMat-Bulk, functional GGA-PBEsol.

Cell: 4.330 4.330 4.330 Å, 60.00 60.00 60.00°
Atoms (fractional coordinates):
Ca: 0.000 0.000 0.000
Co: 0.250 0.250 0.250
Co: 0.500 0.500 0.500
Si: 0.750 0.750 0.750

Output
Symmetry   F-43m (216)
Total DFT energy (no corrections)   -5.545 eV/atom
Energy relative to the elements, uncorrected   1.2 eV/f.u.
Spin magnetization   0.775 μB per atom

[8]
CaCoSi2 after structural relaxation. Source: Alexandria via LeMat-Bulk, functional GGA-PBEsol.

Cell: 3.035 3.104 6.621 Å, 90.00 90.00 90.00°
Atoms (fractional coordinates):
Ca: 0.000 0.000 0.000
Co: 0.500 0.500 0.334
Si: 0.000 0.000 0.462
Si: 0.500 0.500 0.683

Output
Symmetry   Pmm2 (25)
Total DFT energy (no corrections)   -5.568 eV/atom
Energy relative to the elements, uncorrected   -0.9 eV/f.u.
Spin magnetization   0.001 μB per atom